Record 1
! GGA-PBE TbAlPb2, relaxed; values from VASP
! SG	P4/mmm (123)
! energy of formation from the pure elements	-0.23	eV per atom
&SYSTEM
  ibrav = 0, nat = 4, ntyp = 3
/
ATOMIC_SPECIES
Tb 158.93 Tb.upf
Al 26.98 Al.upf
Pb 207.20 Pb.upf
CELL_PARAMETERS angstrom
4.732 0.000 0.000
0.000 4.732 0.000
0.000 0.000 4.668
ATOMIC_POSITIONS crystal
Tb 0.000 0.000 0.000
Al 0.500 0.500 0.000
Pb 0.000 0.500 0.500
Pb 0.500 0.000 0.500



Record 2
! GGA-PBE Tb7Al2Pb2, relaxed; values from VASP
! SG	Cmmm (65)
! energy of formation from the pure elements	-0.07	eV per atom
&SYSTEM
  ibrav = 0, nat = 11, ntyp = 3
/
ATOMIC_SPECIES
Tb 158.93 Tb.upf
Al 26.98 Al.upf
Pb 207.20 Pb.upf
CELL_PARAMETERS angstrom
3.850 -5.636 0.000
3.850 5.636 0.000
0.000 0.000 7.853
ATOMIC_POSITIONS crystal
Tb 0.000 0.000 0.000
Tb 0.000 0.500 0.281
Tb 0.000 0.500 0.719
Tb 0.500 0.000 0.281
Tb 0.500 0.000 0.719
Tb 0.500 0.500 0.225
Tb 0.500 0.500 0.775
Al 0.280 0.720 0.000
Al 0.720 0.280 0.000
Pb 0.198 0.198 0.500
Pb 0.802 0.802 0.500



Record 3
! GGA-PBE Tb2AlPb, relaxed; values from VASP
! SG	P4/mmm (123)
! energy of formation from the pure elements	-0.41	eV per atom
&SYSTEM
  ibrav = 0, nat = 4, ntyp = 3
/
ATOMIC_SPECIES
Tb 158.93 Tb.upf
Al 26.98 Al.upf
Pb 207.20 Pb.upf
CELL_PARAMETERS angstrom
3.457 0.000 0.000
0.000 3.457 0.000
0.000 0.000 8.768
ATOMIC_POSITIONS crystal
Tb 0.000 0.000 0.230
Tb 0.000 0.000 0.770
Al 0.500 0.500 0.000
Pb 0.500 0.500 0.500



Record 4
! GGA-PBE Tb2AlPb, relaxed; values from VASP
! SG	R-3m (166)
! energy of formation from the pure elements	-0.07	eV per atom
&SYSTEM
  ibrav = 0, nat = 4, ntyp = 3
/
ATOMIC_SPECIES
Tb 158.93 Tb.upf
Al 26.98 Al.upf
Pb 207.20 Pb.upf
CELL_PARAMETERS angstrom
1.776 1.025 10.860
-1.776 1.025 10.860
0.000 -2.051 10.860
ATOMIC_POSITIONS crystal
Tb 0.098 0.098 0.098
Tb 0.902 0.902 0.902
Al 0.500 0.500 0.500
Pb 0.000 0.000 0.000



Number 1: calculated volume 104.50 Å³ per cell. Number 2: calculated volume 340.86 Å³ per cell. Number 3: calculated volume 104.81 Å³ per cell. Number 4: calculated volume 118.66 Å³ per cell.